# 1
{"formula": "Ca12H5Ir3", "functional": "PBE", "state": "optimized geometry", "spacegroup": "Ia-3d (230)", "m_tot_mub_per_cell": 0.000, "lattice_angstrom": [[-9.955, -3.576, 8.195], [-0.590, -7.312, -11.191], [11.741, -2.079, 6.072]], "species": ["Ir", "Ir", "Ir", "Ir", "Ir", "Ir", "Ir", "Ir", "Ir", "Ir", "Ir", "Ir", "H", "H", "H", "H", "H", "H", "H", "H", "H", "H", "H", "H", "H", "H", "H", "H", "H", "H", "H", "H", "Ca", "Ca", "Ca", "Ca", "Ca", "Ca", "Ca", "Ca", "Ca", "Ca", "Ca", "Ca", "Ca", "Ca", "Ca", "Ca", "Ca", "Ca", "Ca", "Ca", "Ca", "Ca", "Ca", "Ca", "Ca", "Ca", "Ca", "Ca", "Ca", "Ca", "Ca", "Ca", "Ca", "Ca", "Ca", "Ca", "Ca", "Ca", "Ca", "Ca", "Ca", "Ca", "Ca", "Ca", "Ca", "Ca", "Ca", "Ca"], "fractional_positions": [[0.750, 0.375, 0.125], [0.875, 0.750, 0.125], [0.375, 0.750, 0.625], [0.250, 0.125, 0.375], [0.875, 0.125, 0.250], [0.375, 0.625, 0.250], [0.625, 0.375, 0.750], [0.125, 0.875, 0.750], [0.750, 0.875, 0.625], [0.625, 0.250, 0.375], [0.125, 0.250, 0.875], [0.250, 0.625, 0.875], [0.125, 0.375, 0.250], [0.000, 0.500, 0.000], [0.000, 0.000, 0.000], [0.375, 0.250, 0.125], [0.500, 0.000, 0.500], [0.500, 0.500, 0.000], [0.125, 0.750, 0.375], [0.750, 0.125, 0.875], [0.750, 0.625, 0.375], [0.375, 0.125, 0.750], [0.625, 0.875, 0.250], [0.500, 0.500, 0.500], [0.500, 0.000, 0.000], [0.000, 0.000, 0.500], [0.250, 0.375, 0.625], [0.250, 0.875, 0.125], [0.000, 0.500, 0.500], [0.875, 0.250, 0.625], [0.625, 0.750, 0.875], [0.875, 0.625, 0.750], [0.715, 0.126, 0.029], [0.315, 0.529, 0.403], [0.971, 0.374, 0.285], [0.529, 0.215, 0.126], [0.588, 0.715, 0.685], [0.971, 0.597, 0.185], [0.315, 0.785, 0.412], [0.097, 0.912, 0.126], [0.597, 0.971, 0.685], [0.715, 0.588, 0.185], [0.785, 0.471, 0.374], [0.815, 0.903, 0.029], [0.126, 0.715, 0.529], [0.374, 0.403, 0.088], [0.088, 0.903, 0.374], [0.412, 0.126, 0.597], [0.088, 0.185, 0.215], [0.471, 0.685, 0.097], [0.815, 0.912, 0.285], [0.126, 0.412, 0.097], [0.374, 0.971, 0.785], [0.597, 0.626, 0.412], [0.903, 0.815, 0.529], [0.785, 0.315, 0.912], [0.403, 0.374, 0.588], [0.097, 0.185, 0.471], [0.215, 0.685, 0.088], [0.185, 0.088, 0.715], [0.626, 0.029, 0.215], [0.874, 0.588, 0.903], [0.529, 0.315, 0.903], [0.588, 0.874, 0.403], [0.912, 0.815, 0.785], [0.912, 0.097, 0.626], [0.874, 0.285, 0.471], [0.185, 0.097, 0.971], [0.626, 0.597, 0.912], [0.403, 0.029, 0.315], [0.285, 0.412, 0.815], [0.215, 0.529, 0.626], [0.903, 0.088, 0.874], [0.685, 0.215, 0.588], [0.471, 0.785, 0.874], [0.029, 0.403, 0.815], [0.412, 0.285, 0.315], [0.029, 0.626, 0.715], [0.685, 0.471, 0.597], [0.285, 0.874, 0.971]]}


# 2
{"formula": "K2CaH6Ir", "functional": "PBE", "state": "optimized geometry", "spacegroup": "P-3m1 (164)", "m_tot_mub_per_cell": 0.810, "lattice_angstrom": [[5.886, 0.000, 0.000], [0.000, 5.907, 0.000], [0.000, -2.953, 5.116]], "species": ["K", "K", "Ca", "H", "H", "H", "H", "H", "H", "Ir"], "fractional_positions": [[0.134, 0.333, 0.667], [0.866, 0.667, 0.333], [0.500, 0.000, 0.000], [0.831, 0.134, 0.269], [0.831, 0.134, 0.866], [0.831, 0.731, 0.866], [0.169, 0.866, 0.134], [0.169, 0.269, 0.134], [0.169, 0.866, 0.731], [0.000, 0.000, 0.000]]}


# 3
{"formula": "CaLaH6Ir2", "functional": "PBE", "state": "optimized geometry", "spacegroup": "C2/c (15)", "m_tot_mub_per_cell": 0.001, "lattice_angstrom": [[-2.700, -4.067, -3.904], [2.214, -3.760, 4.476], [-4.869, 2.080, 2.779]], "species": ["Ca", "Ca", "La", "La", "H", "H", "H", "H", "H", "H", "H", "H", "H", "H", "H", "H", "Ir", "Ir", "Ir", "Ir"], "fractional_positions": [[0.595, 0.405, 0.250], [0.405, 0.595, 0.750], [0.155, 0.845, 0.250], [0.845, 0.155, 0.750], [0.935, 0.436, 0.123], [0.564, 0.065, 0.377], [0.065, 0.564, 0.877], [0.436, 0.935, 0.623], [0.199, 0.186, 0.052], [0.814, 0.801, 0.448], [0.801, 0.814, 0.948], [0.186, 0.199, 0.552], [0.296, 0.527, 0.365], [0.473, 0.704, 0.135], [0.704, 0.473, 0.635], [0.527, 0.296, 0.865], [0.318, 0.063, 0.819], [0.937, 0.682, 0.681], [0.682, 0.937, 0.181], [0.063, 0.318, 0.319]]}


no.,calculated volume (Å³/cell),VASP energy (eV per atom),DOS at the Fermi energy (states/eV/cell)
1,1844.3,-3.688,31.49
2,177.9,-3.712,1.66
3,220.5,-4.961,7.63